First-principles (PBE) data for an optimized crystal structure of HoCo3, as listed in the Open Quantum Materials Database.

Computed properties:
The total moment comes out at 0.921 μB/atom. As for the energy of formation from the pure elements: 0.173 eV per atom.

a = 4.3246 Å, b = 4.3246 Å, c = 4.3246 Å
α = 60.00°, β = 60.00°, γ = 60.00°
Each line ends with the local moment (μB).
Atoms (fractional coordinates):
Co 0.0000 0.0000 0.0000  1.19
Co 0.2500 0.2500 0.2500  1.66
Co 0.5000 0.5000 0.5000  1.19
Ho 0.7500 0.7500 0.7500  -0.26

***

First-principles (PBE) data for an optimized crystal structure of Nd3Si4Ni2Au2, as listed in the Open Quantum Materials Database.

Computed properties:
The total moment comes out at 0.000 μB/atom. The value obtained for the total energy is -5.683 eV/atom.

a = 12.5064 Å, b = 12.5064 Å, c = 12.5064 Å
α = 160.93°, β = 160.58°, γ = 27.35°
Atoms (fractional coordinates):
Au 0.3990 0.3990 0.0000
Au 0.6010 0.6010 0.0000
Nd 0.1551 0.1551 0.0000
Nd 0.8449 0.8449 0.0000
Nd 0.5000 0.0000 0.5000
Ni 0.7496 0.2496 0.5000
Ni 0.2504 0.7504 0.5000
Si 0.2950 0.2950 0.0000
Si 0.7050 0.7050 0.0000
Si 0.9512 0.4512 0.5000
Si 0.0488 0.5488 0.5000

***

First-principles (PBE) data for an optimized crystal structure of SmYB2Pd2C2, as listed in the Open Quantum Materials Database.

Computed properties:
The total moment comes out at 0.001 μB/atom. The value obtained for the total energy is -7.168 eV/atom.

a = 3.7951 Å, b = 3.7951 Å, c = 7.7911 Å
α = 90.00°, β = 90.00°, γ = 90.00°
Atoms (fractional coordinates):
B 0.5000 0.5000 0.1599
B 0.0000 0.0000 0.8424
C 0.5000 0.5000 0.3498
C 0.0000 0.0000 0.6529
Pd 0.5000 0.0000 0.9988
Pd 0.0000 0.5000 0.9988
Sm 0.0000 0.0000 0.3377
Y 0.5000 0.5000 0.6597

***

The highest total moment belongs to which entry? HoCo3

***

Among the records above, which one has the lowest total moment? Nd3Si4Ni2Au2

***

Among the records above, which one has the lowest total moment? Nd3Si4Ni2Au2